[1]
Ba2ZnAu2 after structural relaxation, computed with PBE-GGA.

Cell lengths 6.419, 6.419, 6.064 Å; angles 58.04, 58.04, 90.00 degrees
Fractional positions:
Zn: 0.000 0.000 0.000
Ba: 0.250 0.750 0.500
Ba: 0.750 0.250 0.500
Au: 0.670 0.670 0.660
Au: 0.330 0.330 0.340

Summary:
**Formation enthalpy at 0 K**: -0.445 eV/atom

=====

[2]
DyThHg4 after structural relaxation, computed with PBE-GGA.

Cell lengths 5.029, 6.070, 6.070 Å; angles 91.62, 65.71, 65.71 degrees
Fractional positions:
Hg: 0.749 0.584 0.917
Hg: 0.749 0.917 0.584
Hg: 0.251 0.083 0.416
Hg: 0.251 0.416 0.083
Th: 0.000 0.000 0.000
Dy: 0.500 0.500 0.500

Summary:
**Formation enthalpy at 0 K**: -0.308 eV/atom
**Energy above the most stable polymorph in this dataset**: 11 meV/atom

=====

Look up the formation enthalpy at 0 K of the first one. -0.445 eV/atom

=====

Which value of formation enthalpy at 0 K does entry 1 give? -0.445 eV/atom

=====

formation enthalpy at 0 K of number 2 (DyThHg4)? -0.308 eV/atom